A relaxed Hf3TcSn crystal. Source: Alexandria, functional PBE.

Results
* E_form: 152.7 kJ per mole of atoms
* relative energy among the computed polymorphs: 6.26 eV per formula unit
* space group: No. 221
* final energy: -0.5338 Ry/atom
* total magnetization: 1.249 μB/f.u.
* crystal system: cubic

Cell: 5.1529 5.1529 5.1529 Å, 90.00 90.00 90.00°
Last column: nearest neighbours and their distance in Å.
Sites, in units of the cell vectors:
Hf (0.0000, 0.5000, 0.0000)  2 Sn 2.58
Hf (0.0000, 0.0000, 0.5000)  2 Sn 2.58
Hf (0.5000, 0.0000, 0.0000)  2 Sn 2.58
Sn (0.0000, 0.0000, 0.0000)  6 Hf 2.58
Tc (0.5000, 0.5000, 0.5000)  12 Hf 3.64